18
Lattice="-2.105 2.480 7.399 5.001 -6.288 -0.884 10.667 8.455 0.201" Properties=species:S:1:pos:R:3 comment="BaPuTlBr6 PBE optimized geometry" e_form_raw_ev_per_atom=-1.59 pbc="T T T"
Ba 5.299 -1.252 1.927
Br 8.707 2.741 4.170
Pu 10.632 2.976 2.028
Br 12.496 3.289 -0.159
Tl 0.000 0.000 0.000
Br 10.843 0.102 1.797
Br 4.855 1.906 2.546
Ba 8.263 5.899 4.789
Tl 5.333 4.227 0.100
Pu 2.930 1.671 4.688
Br 5.031 1.587 6.672
Br 0.774 1.824 2.770
Br 1.066 1.357 6.875
Br 8.532 3.060 0.044
Br 3.134 -1.192 4.349
Br 2.720 4.544 4.920
Br 12.788 2.823 3.946
Br 10.428 5.838 2.368

19
Lattice="9.548 0.265 1.979 1.663 9.405 1.979 0.308 0.265 9.746" Properties=species:S:1:pos:R:3 comment="K12MgHg6 PBE optimized geometry" delta_e_f_mev_per_atom=-89 pbc="T T T"
K 6.145 5.301 3.997
K 1.516 1.307 5.746
K 2.881 5.301 6.741
K 9.433 4.786 11.222
K 5.374 4.635 9.707
K 6.118 8.629 11.222
Hg 3.506 8.201 4.172
Hg 2.626 2.265 9.215
K 8.638 4.636 6.963
K 5.400 1.307 2.481
Hg 8.012 1.735 9.532
K 5.666 2.072 6.741
K 10.003 8.629 7.957
K 2.086 5.150 2.481
Hg 2.892 7.671 9.532
K 5.853 7.864 6.963
Hg 8.893 7.671 4.488
Hg 8.627 2.265 4.171
Mg 0.000 0.000 0.000

4
Lattice="2.804 0.000 0.000 0.000 4.557 0.000 0.000 0.000 4.712" Properties=species:S:1:pos:R:3 comment="ZnAgRu2 PBE optimized geometry" delta_e_f_mev_per_atom=380 pbc="T T T"
Ru 0.000 0.000 0.000
Ru 1.402 2.279 0.000
Ag 0.000 2.279 2.356
Zn 1.402 0.000 2.356